VASP calculation (PBE) on CaLa2Bi2 after structural relaxation.

Geometry as POSCAR:
```
CaLa2Bi2
1.0
-0.7816 -6.4912 5.8160
5.7946 -4.7489 -4.5214
3.3443 1.7710 2.4260
Ca Bi La
2 4 4
Cartesian
0.0000 0.0000 0.0000
2.5065 -5.6200 0.6473
4.6480 -6.2999 -1.8086
3.1071 -8.6030 1.9968
0.3650 -4.9402 3.1032
1.9059 -2.6371 -0.7022
5.3405 -3.2177 -0.8486
6.0645 -7.3770 1.1895
3.0168 -6.2514 4.5692
2.2928 -2.0921 2.5311
```

Results
Raw total energy   -4.812 eV per atom
Energy of formation from the pure elements   -888 meV/atom
Offset from the most stable computed form   0.000 eV per atom